Density functional theory data (GGA-PBE) for a geometry-optimized SrTe2Se structure.

Cell: 4.308 4.324 7.108 Å, 90.00 90.00 90.00°
Fractional positions:
Sr1 0.000 0.000 0.000
Te1 0.000 0.500 0.500
Te2 0.500 0.000 0.500
Se1 0.500 0.500 0.000

Properties
**V**: 132.39 Å³/f.u.
**ρ**: 5.3 g/cm3
**ΔE_f (raw)**: -75 kJ/mol of atoms
**Fermi-level density of states**: 0.90 states/eV per atom